Record 1
Below is an optimized crystal structure of Pr2IrPd, with properties calculated at the PBE level.

Lattice parameters (Å, degrees): 3.6175 3.6175 7.2343 90.00 90.00 90.00
Fractional coordinates of all 4 atoms:
Pd 0.5000 0.5000 0.5000
Ir 0.5000 0.5000 0.0000
Pr 0.0000 0.0000 0.2379
Pr 0.0000 0.0000 0.7621

* magnetic moment: 0.0000 μB per atom
* energy: -6.550 eV/atom
* symmetry: No. 123
* E_form: -0.646 eV per atom

Record 2
Below is an optimized crystal structure of Ni3RuPt6, with properties calculated at the PBE level.

Lattice parameters (Å, degrees): 4.4710 7.1879 9.7769 114.69 90.00 90.00
Each line ends with the local moment (μB).
Fractional coordinates of all 20 atoms:
Ni 0.7500 0.4315 0.6324  0.64
Pt 0.7500 0.1391 0.7303  0.13
Pt 0.2500 0.2667 0.4739  0.14
Pt 0.7500 0.8319 0.8347  0.16
Pt 0.2500 0.0701 0.8672  0.14
Ni 0.2500 0.3696 0.7688  0.71
Ni 0.7500 0.2408 0.0351  0.69
Pt 0.7500 0.5306 0.9304  0.30
Pt 0.7500 0.9299 0.1328  0.14
Pt 0.7500 0.7333 0.5261  0.14
Ni 0.7500 0.6304 0.2312  0.71
Pt 0.2500 0.1681 0.1653  0.16
Pt 0.2500 0.8609 0.2697  0.13
Pt 0.2500 0.6604 0.6669  0.19
Ni 0.2500 0.5685 0.3676  0.64
Ru 0.7500 0.0328 0.4330  0.27
Ru 0.2500 0.9672 0.5670  0.27
Pt 0.7500 0.3396 0.3331  0.19
Pt 0.2500 0.4694 0.0696  0.30
Ni 0.2500 0.7592 0.9649  0.69

* magnetic moment: 0.3283 μB per atom
* energy: -6.296 eV/atom
* symmetry: No. 11
* E_form: -0.010 eV per atom

Record 3
Below is an optimized crystal structure of LiTiPt2W, with properties calculated at the PBE level.

Lattice parameters (Å, degrees): 4.1292 4.3829 4.1292 90.00 90.00 90.00
Fractional coordinates of all 5 atoms:
Li 0.0000 0.0000 0.0000
Pt 0.5000 0.0000 0.0000
Pt 0.0000 0.0000 0.5000
W 0.0000 0.5000 0.0000
Ti 0.5000 0.5000 0.5000

* magnetic moment: 0.0004 μB per atom
* energy: -6.545 eV/atom
* symmetry: No. 123
* E_form: 0.424 eV per atom

Record 4
Below is an optimized crystal structure of Pm7HoMg2, with properties calculated at the PBE level.

Lattice parameters (Å, degrees): 5.3225 9.4323 9.4323 124.12 90.00 90.00
Fractional coordinates of all 10 atoms:
Pm 0.5000 0.2974 0.0700
Pm 0.0000 0.2116 0.7884
Mg 0.5000 0.7016 0.2984
Pm 0.0000 0.7884 0.2116
Pm 0.5000 0.5000 0.5000
Mg 0.5000 0.2984 0.7016
Pm 0.5000 0.7026 0.9300
Pm 0.5000 0.0700 0.2974
Pm 0.5000 0.9300 0.7026
Ho 0.0000 0.0000 0.0000

* magnetic moment: 0.0000 μB per atom
* energy: -3.573 eV/atom
* symmetry: No. 65
* E_form: 0.530 eV per atom

Record 5
Below is an optimized crystal structure of SrNi2BiPd, with properties calculated at the PBE level.

Lattice parameters (Å, degrees): 4.8144 5.3759 4.8144 90.00 90.00 90.00
Each line ends with the local moment (μB).
Fractional coordinates of all 5 atoms:
Ni 0.5000 0.0000 0.0000  0.56
Ni 0.0000 0.0000 0.5000  0.95
Sr 0.0000 0.5000 0.0000  0.00
Pd 0.0000 0.0000 0.0000  0.20
Bi 0.5000 0.5000 0.5000  0.06

* magnetic moment: 0.3485 μB per atom
* energy: -3.936 eV/atom
* symmetry: No. 123
* E_form: 0.528 eV per atom

Record 6
Below is an optimized crystal structure of Y6SbTe3Pb2, with properties calculated at the PBE level.

Lattice parameters (Å, degrees): 4.4175 8.8233 9.8590 102.82 102.95 90.00
Fractional coordinates of all 12 atoms:
Te 0.8342 0.1668 0.6684
Te 0.1658 0.8332 0.3316
Te 0.5000 0.5000 0.0000
Y 0.9969 0.7558 0.9939
Y 0.6643 0.0889 0.3285
Sb 0.5000 0.0000 0.0000
Y 0.3357 0.9111 0.6715
Y 0.6685 0.5769 0.3371
Y 0.3315 0.4231 0.6629
Y 0.0031 0.2442 0.0061
Pb 0.8333 0.6678 0.6666
Pb 0.1667 0.3322 0.3334

* magnetic moment: 0.0000 μB per atom
* energy: -6.063 eV/atom
* energy relative to the elements, uncorrected: -13.0 eV/f.u.
* symmetry: No. 12

Record 7
Below is an optimized crystal structure of LiMnIn2Cl6, with properties calculated at the PBE level.

Lattice parameters (Å, degrees): 7.0473 6.9970 7.1210 59.94 60.55 61.77
Each line ends with the local moment (μB).
Fractional coordinates of all 10 atoms:
Cl 0.1470 0.0267 0.2775  0.00
Cl 0.0600 0.5118 0.8552  0.00
In 0.0421 0.0861 0.7797  0.00
Cl 0.0196 0.5410 0.3526  0.04
Cl 0.6121 0.0921 0.7494  0.04
Cl 0.5712 0.1215 0.2471  0.00
In 0.5906 0.5455 0.3245  0.00
Mn 0.3158 0.3165 0.0514  3.65
Li 0.8180 0.8144 0.5535  0.01
Cl 0.4851 0.6060 0.8242  0.00

* magnetic moment: 0.3980 μB per atom
* energy: -3.825 eV/atom
* energy relative to the elements, uncorrected: -10.6 eV/f.u.
* symmetry: No. 1

Record 8
Below is an optimized crystal structure of Mg2OsPb, with properties calculated at the PBE level.

Lattice parameters (Å, degrees): 9.8220 9.8220 9.8220 18.28 18.28 18.28
Fractional coordinates of all 4 atoms:
Mg 0.5132 0.5132 0.5132
Mg 0.9868 0.9868 0.9868
Os 0.2500 0.2500 0.2500
Pb 0.7500 0.7500 0.7500

* magnetic moment: 0.0003 μB per atom
* energy: -4.228 eV/atom
* symmetry: No. 166
* E_form: 0.304 eV per atom

Record 9
Below is an optimized crystal structure of Re3P, with properties calculated at the PBE level.

Lattice parameters (Å, degrees): 5.1301 5.1301 5.1301 147.16 129.27 61.76
Fractional coordinates of all 4 atoms:
Re 0.2827 0.2827 0.0000
Re 0.7173 0.7173 0.0000
P 0.5000 0.0000 0.5000
Re 0.0000 0.5000 0.5000

* magnetic moment: 0.0000 μB per atom
* energy: -10.750 eV/atom
* symmetry: No. 71
* E_form: -0.061 eV per atom

Record 10
Below is an optimized crystal structure of Li3TaB, with properties calculated at the PBE level.

Lattice parameters (Å, degrees): 5.0572 5.0572 5.0572 90.00 90.00 90.00
Each line ends with the local moment (μB).
Fractional coordinates of all 5 atoms:
B 0.5000 0.5000 0.5000  -0.09
Li 0.0000 0.5000 0.0000  0.04
Li 0.0000 0.0000 0.5000  0.03
Li 0.5000 0.0000 0.0000  0.06
Ta 0.0000 0.0000 0.0000  2.38

* magnetic moment: 0.7575 μB per atom
* energy: -2.561 eV/atom
* symmetry: No. 221
* E_form: 2.293 eV per atom

Record 11
Below is an optimized crystal structure of Zr2TcPd, with properties calculated at the PBE level.

Lattice parameters (Å, degrees): 4.6964 4.6964 4.6964 60.00 60.00 60.00
Fractional coordinates of all 4 atoms:
Zr 0.2500 0.2500 0.2500
Zr 0.7500 0.7500 0.7500
Pd 0.5000 0.5000 0.5000
Tc 0.0000 0.0000 0.0000

* magnetic moment: 0.0000 μB per atom
* energy: -8.683 eV/atom
* symmetry: No. 225
* E_form: -0.519 eV per atom

Record 12
Below is an optimized crystal structure of Th4OsSe2N, with properties calculated at the PBE level.

Lattice parameters (Å, degrees): 3.9464 6.9613 7.4874 108.09 90.00 90.00
Fractional coordinates of all 8 atoms:
Th 0.0000 0.2510 0.7840
Se 0.0000 0.5000 0.5000
Se 0.5000 0.0000 0.5000
Th 0.5000 0.7836 0.7935
Th 0.5000 0.2164 0.2065
N 0.0000 0.0000 0.0000
Os 0.5000 0.5000 0.0000
Th 0.0000 0.7490 0.2160

* magnetic moment: 0.0000 μB per atom
* energy: -8.213 eV/atom
* energy relative to the elements, uncorrected: -9.5 eV/f.u.
* symmetry: No. 10

Record 13
Below is an optimized crystal structure of ZnCdP2, with properties calculated at the PBE level.

Lattice parameters (Å, degrees): 3.6326 4.2010 5.3487 74.54 90.00 90.00
Fractional coordinates of all 4 atoms:
Cd 0.5000 0.7500 0.7500
P 0.0000 0.5461 0.4246
P 0.0000 0.9539 0.0754
Zn 0.5000 0.2500 0.2500

* magnetic moment: 0.0000 μB per atom
* energy: -3.154 eV/atom
* symmetry: No. 10
* E_form: 0.098 eV per atom

Record 14
Below is an optimized crystal structure of AlZn2Br, with properties calculated at the PBE level.

Lattice parameters (Å, degrees): 3.6734 5.1351 5.1463 66.72 90.00 90.00
Fractional coordinates of all 4 atoms:
Zn 0.0000 0.4812 0.4768
Br 0.5000 0.7500 0.7500
Al 0.5000 0.2500 0.2500
Zn 0.0000 0.0188 0.0232

* magnetic moment: 0.0000 μB per atom
* energy: -1.895 eV/atom
* energy relative to the elements, uncorrected: 0.4 eV/f.u.
* symmetry: No. 10

Record 15
Below is an optimized crystal structure of Ce4PrY3Se8, with properties calculated at the PBE level.

Lattice parameters (Å, degrees): 8.3160 8.3655 8.3159 119.80 120.00 90.00
Each line ends with the local moment (μB).
Fractional coordinates of all 16 atoms:
Y 0.5000 0.5000 0.5000  0.00
Ce 0.5000 0.0000 0.0000  0.73
Ce 0.5000 0.0000 0.5000  0.86
Y 0.5000 0.5000 0.0000  0.00
Se 0.7483 0.2559 0.0076  -0.01
Y 0.0000 0.5000 0.5000  0.00
Se 0.2517 0.7441 0.9924  -0.01
Ce 0.0000 0.0000 0.0000  0.86
Se 0.7463 0.7389 0.4926  -0.01
Pr 0.0000 0.5000 0.0000  -0.01
Se 0.2537 0.2611 0.5074  -0.01
Se 0.2517 0.7441 0.5034  -0.01
Ce 0.0000 0.0000 0.5000  0.86
Se 0.7407 0.7441 0.9924  -0.01
Se 0.7483 0.2559 0.4966  -0.01
Se 0.2593 0.2559 0.0076  -0.01

* magnetic moment: 0.2489 μB per atom
* energy: -6.545 eV/atom
* energy relative to the elements, uncorrected: -28.9 eV/f.u.
* symmetry: No. 166

Record 16
Below is an optimized crystal structure of RuPb4Se, with properties calculated at the PBE level.

Lattice parameters (Å, degrees): 6.2731 6.2731 6.2731 60.00 60.00 60.00
Each line ends with the local moment (μB).
Fractional coordinates of all 6 atoms:
Ru 0.7500 0.7500 0.7500  2.02
Pb 0.8732 0.3756 0.3756  -0.02
Pb 0.3756 0.3756 0.3756  -0.02
Pb 0.3756 0.8732 0.3756  -0.02
Se 0.0000 0.0000 0.0000  0.05
Pb 0.3756 0.3756 0.8732  -0.02

* magnetic moment: 0.3410 μB per atom
* energy: -3.778 eV/atom
* energy relative to the elements, uncorrected: 4.9 eV/f.u.
* symmetry: No. 216

Record 17
Below is an optimized crystal structure of K4NdTe3O12, with properties calculated at the PBE level.

Lattice parameters (Å, degrees): 7.2321 7.2321 7.2321 109.47 109.47 109.47
Fractional coordinates of all 20 atoms:
O 0.2726 0.2726 0.0000
K 0.0000 0.5000 0.0000
O 0.5000 0.7500 0.2500
O 0.0000 0.7274 0.7274
O 0.7500 0.2500 0.5000
K 0.5000 0.0000 0.0000
Te 0.5000 0.5000 0.0000
O 0.7500 0.5000 0.2500
K 0.0000 0.0000 0.5000
Nd 0.0000 0.0000 0.0000
O 0.2726 0.0000 0.2726
Te 0.0000 0.5000 0.5000
O 0.7274 0.7274 0.0000
O 0.0000 0.2726 0.2726
Te 0.5000 0.0000 0.5000
O 0.2500 0.7500 0.5000
O 0.5000 0.2500 0.7500
K 0.5000 0.5000 0.5000
O 0.2500 0.5000 0.7500
O 0.7274 0.0000 0.7274

* magnetic moment: 0.0000 μB per atom
* energy: -5.428 eV/atom
* energy relative to the elements, uncorrected: -30.5 eV/f.u.
* symmetry: No. 229

Record 18
Below is an optimized crystal structure of MgScBe2, with properties calculated at the PBE level.

Lattice parameters (Å, degrees): 4.3804 4.3804 3.2011 90.00 90.00 90.00
Fractional coordinates of all 4 atoms:
Sc 0.0000 0.5000 0.5000
Mg 0.5000 0.0000 0.5000
Be 0.5000 0.5000 0.0000
Be 0.0000 0.0000 0.0000

* magnetic moment: 0.0000 μB per atom
* energy: -3.721 eV/atom
* symmetry: No. 123
* E_form: 0.124 eV per atom

Record 19
Below is an optimized crystal structure of LiMg12Tl7, with properties calculated at the PBE level.

Lattice parameters (Å, degrees): 8.2622 8.2622 8.2622 100.67 100.67 100.67
Fractional coordinates of all 20 atoms:
Mg 0.7186 0.2913 0.1678
Mg 0.4115 0.5082 0.1354
Mg 0.2913 0.1678 0.7186
Mg 0.8322 0.2814 0.7087
Tl 0.0535 0.3514 0.0927
Mg 0.5082 0.1354 0.4115
Mg 0.1678 0.7186 0.2913
Mg 0.1354 0.4115 0.5082
Mg 0.5885 0.4918 0.8646
Tl 0.6486 0.9073 0.9465
Mg 0.8646 0.5885 0.4918
Tl 0.9073 0.9465 0.6486
Mg 0.4918 0.8646 0.5885
Tl 0.3514 0.0927 0.0535
Mg 0.2814 0.7087 0.8322
Tl 0.5000 0.5000 0.5000
Mg 0.7087 0.8322 0.2814
Tl 0.0927 0.0535 0.3514
Li 0.0000 0.0000 0.0000
Tl 0.9465 0.6486 0.9073

* magnetic moment: 0.0000 μB per atom
* energy: -1.767 eV/atom
* symmetry: No. 148
* E_form: 0.114 eV per atom

Record 20
Below is an optimized crystal structure of CrRuRh2, with properties calculated at the PBE level.

Lattice parameters (Å, degrees): 8.7876 8.7876 8.7876 17.62 17.62 17.62
Fractional coordinates of all 4 atoms:
Ru 0.2500 0.2500 0.2500
Rh 0.4967 0.4967 0.4967
Cr 0.7500 0.7500 0.7500
Rh 0.0033 0.0033 0.0033

* magnetic moment: 0.0002 μB per atom
* energy: -8.341 eV/atom
* symmetry: No. 166
* E_form: 0.060 eV per atom

Record 21
Below is an optimized crystal structure of LaCo2W2, with properties calculated at the PBE level.

Lattice parameters (Å, degrees): 4.3029 4.3029 5.8222 68.31 68.31 90.00
Fractional coordinates of all 5 atoms:
La 0.0000 0.0000 0.0000
Co 0.2500 0.7500 0.5000
W 0.3632 0.3632 0.2736
Co 0.7500 0.2500 0.5000
W 0.6368 0.6368 0.7264

* magnetic moment: 0.0000 μB per atom
* energy: -8.633 eV/atom
* symmetry: No. 139
* E_form: 0.376 eV per atom

Record 22
Below is an optimized crystal structure of ErV2, with properties calculated at the PBE level.

Lattice parameters (Å, degrees): 3.2894 3.2894 5.6613 106.89 106.89 90.00
Fractional coordinates of all 3 atoms:
Er 0.0000 0.0000 0.0000
V 0.7040 0.7040 0.4080
V 0.2960 0.2960 0.5920

* magnetic moment: 0.0000 μB per atom
* energy: -7.381 eV/atom
* symmetry: No. 139
* E_form: 0.219 eV per atom

Record 23
Below is an optimized crystal structure of PmAg4Pd, with properties calculated at the PBE level.

Lattice parameters (Å, degrees): 5.5170 5.5170 5.5170 60.00 60.00 60.00
Fractional coordinates of all 6 atoms:
Ag 0.6255 0.6255 0.6255
Ag 0.6255 0.1234 0.6255
Ag 0.1234 0.6255 0.6255
Pd 0.0000 0.0000 0.0000
Ag 0.6255 0.6255 0.1234
Pm 0.2500 0.2500 0.2500

* magnetic moment: 0.0000 μB per atom
* energy: -3.769 eV/atom
* symmetry: No. 216
* E_form: -0.211 eV per atom

Record 24
Below is an optimized crystal structure of NbInNi2, with properties calculated at the PBE level.

Lattice parameters (Å, degrees): 5.7940 5.7940 5.7940 58.92 152.85 128.78
Fractional coordinates of all 4 atoms:
Nb 0.0000 0.0000 0.0000
Ni 0.0000 0.7636 0.7636
Ni 0.0000 0.2364 0.2364
In 0.0000 0.5000 0.5000

* magnetic moment: 0.0000 μB per atom
* energy: -5.536 eV/atom
* symmetry: No. 71
* E_form: 0.557 eV per atom

Record 25
Below is an optimized crystal structure of SmBCl, with properties calculated at the PBE level.

Lattice parameters (Å, degrees): 3.2866 3.6807 11.0883 99.55 108.65 90.00
Fractional coordinates of all 6 atoms:
B 0.2340 0.9926 0.9852
Cl 0.1026 0.1634 0.3268
B 0.7660 0.0074 0.0148
Sm 0.5671 0.4154 0.8307
Cl 0.8974 0.8366 0.6732
Sm 0.4329 0.5846 0.1693

* magnetic moment: 0.0000 μB per atom
* energy: -5.600 eV/atom
* energy relative to the elements, uncorrected: -3.6 eV/f.u.
* symmetry: No. 12